Record 1
Here is a geometry-optimized Tl3TcO structure from Alexandria. Energies are from PBE.

Output
formation energy without anion corrections	0.7556	eV per atom
M_tot	2.2	μB/f.u.
N(E_F)	12.665	states/eV/f.u.
relative energy among the computed polymorphs	126	meV per atom
DFT total energy	-18.6	eV for the cell shown

a b c (Å): 5.324 5.324 5.324
angles (deg): 90.00 90.00 90.00
Last column: magnetic moment on the atom in μB.
Fractional positions:
Tl 0.000 0.500 0.000  0.00
Tl 0.000 0.000 0.500  -0.01
Tl 0.500 0.000 0.000  -0.03
Tc 0.000 0.000 0.000  1.00
O 0.500 0.500 0.500  0.96

---

Record 2
Here is a geometry-optimized Tl3Tc2O8 structure from Alexandria. Energies are from PBE.

Output
formation energy without anion corrections	-1.2456	eV per atom
M_tot	0.9	μB/f.u.
N(E_F)	6.246	states/eV/f.u.
DFT total energy	-83.7	eV for the cell shown

a b c (Å): 6.291 6.291 8.197
angles (deg): 67.44 67.44 60.00
Last column: magnetic moment on the atom in μB.
Fractional positions:
Tl 0.000 0.000 0.000  0.01
Tl 0.801 0.801 0.596  0.01
Tl 0.199 0.199 0.404  0.01
Tc 0.596 0.596 0.211  0.29
Tc 0.404 0.404 0.789  0.29
O 0.676 0.676 0.971  0.03
O 0.324 0.324 0.029  0.03
O 0.263 0.723 0.291  0.02
O 0.723 0.263 0.291  0.02
O 0.723 0.723 0.291  0.02
O 0.277 0.737 0.709  0.02
O 0.737 0.277 0.709  0.02
O 0.277 0.277 0.709  0.02

---

Record 3
Here is a geometry-optimized TlTcO3 structure from Alexandria. Energies are from PBE.

Output
formation energy without anion corrections	-1.1647	eV per atom
M_tot	0.3	μB/f.u.
N(E_F)	2.760	states/eV/f.u.
DFT total energy	-133.7	eV for the cell shown

a b c (Å): 24.873 4.933 8.452
angles (deg): 90.00 162.72 90.00
Last column: magnetic moment on the atom in μB.
Fractional positions:
Tl 0.180 0.180 0.893  0.00
Tl 0.820 0.820 0.107  0.00
Tl 0.320 0.680 0.607  0.00
Tl 0.680 0.320 0.393  0.00
Tc 0.549 0.785 0.709  0.23
Tc 0.451 0.215 0.291  0.23
Tc 0.951 0.285 0.791  0.23
Tc 0.049 0.715 0.209  0.23
O 0.300 0.917 0.963  0.00
O 0.700 0.083 0.037  0.00
O 0.200 0.417 0.537  0.00
O 0.800 0.583 0.463  0.00
O 0.446 0.422 0.480  0.00
O 0.554 0.578 0.520  0.00
O 0.054 0.922 0.020  0.00
O 0.946 0.078 0.980  0.00
O 0.542 0.887 0.896  0.05
O 0.458 0.113 0.104  0.05
O 0.958 0.387 0.604  0.05
O 0.042 0.613 0.396  0.05